(1)
VASP calculation (PBE) on a relaxed UAs2PdRh2 crystal.

Properties
**Total DFT energy (no corrections)**: -86.3 eV per cell
**E_form**: -0.442 eV per atom

a = 3.8682 Å, b = 8.5175 Å, c = 6.3266 Å
α = 90.00°, β = 90.00°, γ = 90.00°
Space group Pmc2_1 (No. 26)
Unique sites:
U 0.0000 0.0597 0.0000 [2 per cell]
As 0.0000 0.3944 0.7962 [2 per cell]
As 0.5000 0.1785 0.3002 [2 per cell]
Pd 0.5000 0.1891 0.6995 [2 per cell]
Rh 0.0000 0.3394 0.4154 [2 per cell]
Rh 0.5000 0.3989 0.0509 [2 per cell]

---

(2)
VASP calculation (PBE) on a relaxed Sr2TmUAs4 crystal.

Properties
**Total DFT energy (no corrections)**: -46.8 eV per cell
**E_form**: -1.138 eV per atom

a = 7.2756 Å, b = 4.2575 Å, c = 7.5147 Å
α = 90.00°, β = 108.89°, γ = 90.00°
Space group P2/m (No. 10)
Unique sites:
Sr 0.0000 0.0000 0.0000 [1 per cell]
Sr 0.5000 0.5000 0.0000 [1 per cell]
Tm 0.0000 0.5000 0.5000 [1 per cell]
U 0.5000 0.0000 0.5000 [1 per cell]
As 0.2476 0.0000 0.7162 [2 per cell]
As 0.2675 0.5000 0.2856 [2 per cell]

---

(3)
VASP calculation (PBE) on a relaxed CuSi2Te crystal.

Properties
**ΔE_f (raw)**: 0.47 eV/atom
**Total DFT energy (no corrections)**: -16.2 eV per cell

a = 2.9422 Å, b = 3.5497 Å, c = 6.9280 Å
α = 90.00°, β = 90.00°, γ = 90.00°
Space group Pmmm (No. 47)
Unique sites:
Cu 0.0000 0.0000 0.0000 [1 per cell]
Si 0.5000 0.5000 0.1816 [2 per cell]
Te 0.0000 0.0000 0.5000 [1 per cell]